Dy2Co2As | PBE-GGA | optimized geometry

Properties
The space group is I4/mmm, No. 139. The total energy is -54.764 eV per cell.

a = 12.999 Å, b = 12.999 Å, c = 12.999 Å
α = 162.59°, β = 162.59°, γ = 24.72°
Positions (direct):
1 Dy 0.000 0.500 0.500
2 Dy 0.175 0.175 0.000
3 Dy 0.500 0.000 0.500
4 Dy 0.825 0.825 0.000
5 Co 0.075 0.075 0.000
6 Co 0.250 0.750 0.500
7 Co 0.750 0.250 0.500
8 Co 0.925 0.925 0.000
9 As 0.409 0.409 0.000
10 As 0.591 0.591 0.000